An optimized crystal structure of BAsP2Cl, computed with GGA-PBE.

Unit cell a=4.6534 b=3.3934 c=7.4951 alpha=90.00 beta=106.43 gamma=90.00
Site moments in Bohr magnetons follow the coordinates.
Fractional coordinates of all 5 atoms:
P (0.4281, 0.0000, 0.4279)  0.09
P (0.1435, 0.5000, 0.6787)  0.02
As (0.8125, 0.0000, 0.7070)  0.03
B (0.1921, 0.5000, 0.4192)  0.01
Cl (0.8639, 0.5000, 0.2176)  0.01

- uncorrected formation energy (eV per atom) = -0.0798
- energy above the lowest structure with this stoichiometry (kcal/mol of atoms) = 0.437



An optimized crystal structure of SiTeHI2, computed with GGA-PBE.

Unit cell a=5.7109 b=5.7109 c=3.8668 alpha=90.00 beta=90.00 gamma=90.00
Fractional coordinates of all 5 atoms:
Te (0.0000, 0.0000, 0.5000)
Si (0.5000, 0.5000, 0.5000)
I (0.5000, 0.0000, 0.0000)
I (0.0000, 0.5000, 0.0000)
H (0.0000, 0.0000, 0.0000)

- energy above the lowest structure with this stoichiometry (kcal/mol of atoms) = 1.062



An optimized crystal structure of TlCrSi2, computed with GGA-PBE.

Unit cell a=8.5507 b=8.5507 c=8.5507 alpha=21.05 beta=21.05 gamma=21.05
Site moments in Bohr magnetons follow the coordinates.
Fractional coordinates of all 4 atoms:
Si (0.4803, 0.4803, 0.4803)  -0.02
Si (0.0197, 0.0197, 0.0197)  -0.02
Cr (0.7500, 0.7500, 0.7500)  0.54
Tl (0.2500, 0.2500, 0.2500)  -0.01

- uncorrected formation energy (eV per atom) = 0.3698
- energy above the lowest structure with this stoichiometry (kcal/mol of atoms) = 3.055



For the records above, the corresponding calculated volume values read 22.70; 25.22; 17.66 A^3/atom.
For the records above, the corresponding D(E_F) values read 0.448; 1.047; 0.597 states/eV per atom.